# 1
## Ca2Sc2Ru (PBE)

Data for an optimized crystal structure of Ca2Sc2Ru.

Values from the calculation:
The calculation puts the volume at 29.24 Å³ per atom. Its energy above the most stable polymorph in this dataset is 592 meV per atom. The value obtained for the formation energy is 0.619 eV/atom.

Geometry as POSCAR:
```
Ca2Sc2Ru
1.0
-3.1339 3.1339 3.7210
3.1339 -3.1339 3.7210
3.1339 3.1339 -3.7210
Ca Sc Ru
2 2 1
Cartesian
3.1339 0.0000 1.8605
0.0000 3.1339 1.8605
0.0000 0.0000 1.4341
0.0000 0.0000 6.0080
0.0000 0.0000 3.7210
```


# 2
## Ca4ScRu (PBE)

Data for an optimized crystal structure of Ca4ScRu.

Values from the calculation:
The calculation puts the volume at 29.74 Å³ per atom. The value obtained for the formation energy is 0.904 eV/atom.

Geometry as POSCAR:
```
Ca4ScRu
1.0
0.0000 4.4685 4.4685
4.4685 0.0000 4.4685
4.4685 4.4685 0.0000
Ca Sc Ru
4 1 1
Cartesian
1.1081 1.1081 1.1081
3.3604 3.3604 1.1081
3.3604 1.1081 3.3604
1.1081 3.3604 3.3604
4.4685 4.4685 4.4685
6.7027 6.7027 6.7027
```


# 3
## CaScRu (PBE)

Data for an optimized crystal structure of CaScRu.

Values from the calculation:
The calculation puts the volume at 24.16 Å³ per atom. Its energy above the most stable polymorph in this dataset is 85 meV per atom. The value obtained for the formation energy is -0.161 eV/atom.

Geometry as POSCAR:
```
CaScRu
1.0
6.6458 -1.6707 0.0000
6.6458 1.6707 0.0000
-0.8548 0.0000 6.5285
Ca Sc Ru
2 2 2
Cartesian
1.7596 0.0000 1.8473
10.6772 0.0000 4.6812
0.5829 0.0000 5.0517
11.8540 0.0000 1.4767
6.6458 0.0000 0.0000
6.2184 0.0000 3.2642
```


# 4
## CaScRu2 (PBE)

Data for an optimized crystal structure of CaScRu2.

Values from the calculation:
The calculation puts the volume at 17.79 Å³ per atom. The value obtained for the formation energy is 0.220 eV/atom.

Geometry as POSCAR:
```
CaScRu2
1.0
0.0000 3.2892 3.2892
3.2892 0.0000 3.2892
3.2892 3.2892 0.0000
Ca Sc Ru
1 1 2
Cartesian
0.0000 0.0000 0.0000
4.9338 4.9338 4.9338
1.6446 1.6446 1.6446
3.2892 3.2892 3.2892
```


# 5
## Ca2ScRu (PBE)

Data for an optimized crystal structure of Ca2ScRu.

Values from the calculation:
The calculation puts the volume at 26.68 Å³ per atom. Its energy above the most stable polymorph in this dataset is 103 meV per atom. The value obtained for the formation energy is -0.005 eV/atom.

Geometry as POSCAR:
```
Ca2ScRu
1.0
-1.7556 2.7839 5.4596
1.7556 -2.7839 5.4596
1.7556 2.7839 -5.4596
Ca Sc Ru
2 1 1
Cartesian
0.0000 0.0000 0.0000
0.0000 2.7839 2.0925
0.0000 0.0000 4.1208
1.7556 0.0000 2.3684
```


# 6
## CaScRu2 (PBE)

Data for an optimized crystal structure of CaScRu2.

Values from the calculation:
The calculation puts the volume at 22.38 Å³ per atom. The value obtained for the formation energy is 0.037 eV/atom.

Geometry as POSCAR:
```
CaScRu2
1.0
4.2816 0.0000 0.0000
0.0000 2.0911 4.9992
0.0000 -2.0911 4.9992
Ca Sc Ru
1 1 2
Cartesian
0.0000 0.0000 0.0000
2.1408 0.0000 2.8187
0.0000 0.0000 7.1021
2.1408 0.0000 6.1059
```


# 7
## Ca2ScRu (PBE)

Data for an optimized crystal structure of Ca2ScRu.

Values from the calculation:
The calculation puts the volume at 33.23 Å³ per atom. Its energy above the most stable polymorph in this dataset is 372 meV per atom. The value obtained for the formation energy is 0.264 eV/atom.

Geometry as POSCAR:
```
Ca2ScRu
1.0
-5.2245 5.2245 2.4350
5.2245 -5.2245 2.4350
5.2245 5.2245 -2.4350
Ca Sc Ru
4 2 2
Cartesian
-1.0855 2.6123 0.6088
2.6123 4.1390 1.8263
1.0855 7.8368 0.6088
-2.6123 6.3101 1.8263
5.2245 0.0000 1.2175
0.0000 0.0000 2.4350
0.0000 0.0000 0.0000
0.0000 5.2245 1.2175
```


# 8
## CaScRu (PBE)

Data for an optimized crystal structure of CaScRu.

Values from the calculation:
The calculation puts the volume at 22.94 Å³ per atom. Its energy above the most stable polymorph in this dataset is 0 meV per atom. The value obtained for the formation energy is -0.247 eV/atom.

Geometry as POSCAR:
```
CaScRu
1.0
3.4624 0.0000 0.0000
0.0000 3.4624 0.0000
0.0000 0.0000 11.4822
Ca Sc Ru
2 2 2
Cartesian
0.8656 0.8656 1.6316
2.5968 2.5968 9.8506
0.8656 0.8656 4.7504
2.5968 2.5968 6.7318
0.8656 0.8656 7.8522
2.5968 2.5968 3.6300
```


Computed N(E_F) (states/eV/atom) in order:
1.1672, 1.6757, 0.6373, 0.6727, 0.6265, 0.8040, 1.0451, 0.4267